# 1
{
  "formula": "NaHoCuHg",
  "functional": "GGA-PBE",
  "state": "optimized geometry",
  "volume_a3_per_atom": 22.148,
  "dos_at_fermi_per_ev_cell": 2.899,
  "crystal_system": "cubic",
  "total_magnetization_mub_per_cell": 0.00,
  "e_form_mev_per_atom": -82,
  "total_energy_ev_per_cell": -10.62,
  "lattice": [[5.004, 0.000, 0.000], [2.502, 4.333, 0.000], [2.502, 1.444, 4.086]],
  "species": ["Na", "Hg", "Cu", "Ho"],
  "frac_coords": [[0.500, 0.500, 0.500], [0.750, 0.750, 0.750], [0.250, 0.250, 0.250], [0.000, 0.000, 0.000]]
}



# 2
{
  "formula": "Ac5Pr5Er2",
  "functional": "GGA-PBE",
  "state": "optimized geometry",
  "volume_a3_per_atom": 38.718,
  "dos_at_fermi_per_ev_cell": 20.085,
  "crystal_system": "monoclinic",
  "total_magnetization_mub_per_cell": 0.00,
  "e_form_mev_per_atom": 41,
  "total_energy_ev_per_cell": -53.07,
  "lattice": [[-1.026, -1.524, -4.972], [-5.330, -6.689, 0.325], [-10.521, 3.990, -1.878]],
  "species": ["Ac", "Ac", "Ac", "Ac", "Ac", "Pr", "Pr", "Pr", "Pr", "Pr", "Er", "Er"],
  "frac_coords": [[0.500, 0.500, 0.500], [0.334, 0.330, 0.001], [0.417, 0.914, 0.253], [0.583, 0.086, 0.747], [0.666, 0.670, 0.999], [0.833, 0.832, 0.502], [0.255, 0.746, 0.744], [0.745, 0.254, 0.256], [0.167, 0.168, 0.498], [0.000, 0.000, 0.000], [0.916, 0.420, 0.748], [0.084, 0.580, 0.252]]
}



# 3
{
  "formula": "Li2ZrPt3",
  "functional": "GGA-PBE",
  "state": "optimized geometry",
  "volume_a3_per_atom": 15.287,
  "dos_at_fermi_per_ev_cell": 3.678,
  "crystal_system": "orthorhombic",
  "total_magnetization_mub_per_cell": 0.00,
  "e_form_mev_per_atom": -802,
  "total_energy_ev_per_cell": -70.63,
  "lattice": [[4.335, 0.000, 0.018], [2.167, 6.442, 0.009], [-0.028, 0.000, 6.569]],
  "species": ["Li", "Li", "Li", "Li", "Zr", "Zr", "Pt", "Pt", "Pt", "Pt", "Pt", "Pt"],
  "frac_coords": [[0.000, 0.000, 0.000], [0.000, 0.000, 0.500], [0.327, 0.346, 0.500], [0.673, 0.654, 0.500], [0.345, 0.310, 0.000], [0.655, 0.690, 0.000], [0.835, 0.330, 0.738], [0.500, 0.000, 0.278], [0.165, 0.670, 0.262], [0.835, 0.330, 0.262], [0.165, 0.670, 0.738], [0.500, 0.000, 0.722]]
}